VASP calculation (PBE) on a geometry-optimized BC2 structure.

DFT total energy, Ha/atom: -0.296
Energy relative to the elements, eV/atom: 0.315
E above lowest polymorph, meV/atom: 75
Size of the total moment, Bohr magnetons per cell: 0.00

a = 6.9739 Å, b = 6.9739 Å, c = 4.6143 Å
α = 108.66°, β = 108.66°, γ = 21.49°
Closest atoms and distances in Å follow each position.
Atoms (fractional coordinates):
1 B 0.0000 0.0000 0.0000  3 C 1.56
2 B 0.1724 0.1724 0.1776  3 C 1.55-1.61
3 B 0.5247 0.5247 0.5201  4 C 1.63-1.67
4 B 0.8085 0.8085 0.1672  4 C 1.65-1.70
5 C 0.1934 0.1934 0.5419  3 C 1.56-1.58, 1 B 1.61
6 C 0.3138 0.3138 0.6662  4 C 1.56-1.59
7 C 0.3580 0.3580 0.0234  2 C 1.49-1.56
8 C 0.4730 0.4730 0.1458  1 C 1.49, 3 B 1.56-1.64
9 C 0.6506 0.6506 0.6535  3 C 1.54-1.58, 1 B 1.63
10 C 0.6812 0.6812 0.0064  1 C 1.54, 3 B 1.55-1.66
11 C 0.8554 0.8554 0.5450  3 C 1.52-1.59, 1 B 1.65
12 C 0.9725 0.9725 0.6451  1 C 1.52, 3 B 1.56-1.67


VASP calculation (PBE) on a geometry-optimized SiB2S structure.

DFT total energy, Ha/atom: -0.211
Energy relative to the elements, uncorrected, eV per atom: -0.0018
E above lowest polymorph, meV/atom: 0
Size of the total moment, Bohr magnetons per cell: 0.00

a = 5.6040 Å, b = 5.6040 Å, c = 5.6040 Å
α = 131.37°, β = 131.37°, γ = 71.23°
Closest atoms and distances in Å follow each position.
Atoms (fractional coordinates):
1 Si 0.0000 0.0000 0.0000  4 B 2.03
2 Si 0.7500 0.2500 0.5000  4 B 2.03
3 B 0.1402 0.6250 0.0152  2 S 1.95, 2 Si 2.03
4 B 0.3750 0.3902 0.5152  2 S 1.95, 2 Si 2.03
5 B 0.6098 0.1250 0.9848  2 S 1.95, 2 Si 2.03
6 B 0.8750 0.8598 0.4848  2 S 1.95, 2 Si 2.03
7 S 0.2500 0.7500 0.5000  4 B 1.95
8 S 0.5000 0.5000 0.0000  4 B 1.95


VASP calculation (PBE) on a geometry-optimized TiBi2Pd2 structure.

DFT total energy, Ha/atom: -0.197
Energy relative to the elements, eV/atom: -0.141
Size of the total moment, Bohr magnetons per cell: 0.00

a = 7.1884 Å, b = 7.1884 Å, c = 4.1095 Å
α = 90.00°, β = 90.00°, γ = 90.00°
Closest atoms and distances in Å follow each position.
Atoms (fractional coordinates):
1 Ti 0.0000 0.0000 0.0000  4 Pd 2.80
2 Ti 0.5000 0.5000 0.0000  4 Pd 2.80
3 Bi 0.1764 0.3236 0.5000  6 Pd 2.82-3.05
4 Bi 0.3236 0.8236 0.5000  6 Pd 2.82-3.05
5 Bi 0.6764 0.1764 0.5000  6 Pd 2.82-3.05
6 Bi 0.8236 0.6764 0.5000  6 Pd 2.82-3.05
7 Pd 0.1334 0.6334 0.0000  1 Pd 2.71, 2 Ti 2.80, 2 Bi 2.82
8 Pd 0.3666 0.1334 0.0000  1 Pd 2.71, 2 Ti 2.80, 2 Bi 2.82
9 Pd 0.6334 0.8666 0.0000  1 Pd 2.71, 2 Ti 2.80, 2 Bi 2.82
10 Pd 0.8666 0.3666 0.0000  1 Pd 2.71, 2 Ti 2.80, 2 Bi 2.82


VASP calculation (PBE) on a geometry-optimized Ce6PuZn2 structure.

DFT total energy, Ha/atom: -0.219
Energy relative to the elements, eV/atom: -0.133
Size of the total moment, Bohr magnetons per cell: 0.00

a = 6.9610 Å, b = 6.9610 Å, c = 6.9610 Å
α = 60.00°, β = 60.00°, γ = 60.00°
Closest atoms and distances in Å follow each position.
Atoms (fractional coordinates):
1 Ce 0.2479 0.2479 0.7521  1 Pu 2.44
2 Ce 0.2479 0.7521 0.2479  1 Pu 2.44
3 Ce 0.2479 0.7521 0.7521  1 Pu 2.44
4 Ce 0.7521 0.2479 0.2479  1 Pu 2.44
5 Ce 0.7521 0.2479 0.7521  1 Pu 2.44
6 Ce 0.7521 0.7521 0.2479  1 Pu 2.44
7 Pu 0.0000 0.0000 0.0000  6 Ce 2.44
8 Zn 0.2500 0.2500 0.2500  12 Ce 3.48
9 Zn 0.7500 0.7500 0.7500  12 Ce 3.48


VASP calculation (PBE) on a geometry-optimized DyHoSbTe structure.

DFT total energy, Ha/atom: -0.195
Energy relative to the elements, uncorrected, eV per atom: -1.1954
Size of the total moment, Bohr magnetons per cell: 0.00

a = 7.9154 Å, b = 7.9154 Å, c = 7.9154 Å
α = 31.33°, β = 31.33°, γ = 31.33°
Closest atoms and distances in Å follow each position.
Atoms (fractional coordinates):
1 Dy 0.0000 0.0000 0.0000  3 Sb 3.05, 3 Te 3.20
2 Ho 0.8217 0.8217 0.8217  3 Sb 3.00, 3 Te 3.16
3 Sb 0.4129 0.4129 0.4129  3 Ho 3.00, 3 Dy 3.05
4 Te 0.2428 0.2428 0.2428  3 Ho 3.16, 3 Dy 3.20


VASP calculation (PBE) on a geometry-optimized SbAuSe2N structure.

DFT total energy, Ha/atom: -0.134
Energy relative to the elements, uncorrected, eV per atom: 0.8853
E above lowest polymorph, meV/atom: 94
Size of the total moment, Bohr magnetons per cell: 0.00

a = 5.3214 Å, b = 5.3214 Å, c = 3.8238 Å
α = 90.00°, β = 90.00°, γ = 90.00°
Closest atoms and distances in Å follow each position.
Atoms (fractional coordinates):
1 Sb 0.0000 0.0000 0.0000  8 Se 3.28
2 Au 0.5000 0.5000 0.5000  2 N 1.91
3 Se 0.0000 0.5000 0.5000  2 Au 2.66
4 Se 0.5000 0.0000 0.5000  2 Au 2.66
5 N 0.5000 0.5000 0.0000  2 Au 1.91


What did the sixth record say?
VASP calculation (PBE) on a geometry-optimized SbAuSe2N structure.

DFT total energy, Ha/atom: -0.134
Energy relative to the elements, uncorrected, eV per atom: 0.8853
E above lowest polymorph, meV/atom: 94
Size of the total moment, Bohr magnetons per cell: 0.00

a = 5.3214 Å, b = 5.3214 Å, c = 3.8238 Å
α = 90.00°, β = 90.00°, γ = 90.00°
Closest atoms and distances in Å follow each position.
Atoms (fractional coordinates):
1 Sb 0.0000 0.0000 0.0000  8 Se 3.28
2 Au 0.5000 0.5000 0.5000  2 N 1.91
3 Se 0.0000 0.5000 0.5000  2 Au 2.66
4 Se 0.5000 0.0000 0.5000  2 Au 2.66
5 N 0.5000 0.5000 0.0000  2 Au 1.91


What did the fifth record say?
VASP calculation (PBE) on a geometry-optimized DyHoSbTe structure.

DFT total energy, Ha/atom: -0.195
Energy relative to the elements, uncorrected, eV per atom: -1.1954
Size of the total moment, Bohr magnetons per cell: 0.00

a = 7.9154 Å, b = 7.9154 Å, c = 7.9154 Å
α = 31.33°, β = 31.33°, γ = 31.33°
Closest atoms and distances in Å follow each position.
Atoms (fractional coordinates):
1 Dy 0.0000 0.0000 0.0000  3 Sb 3.05, 3 Te 3.20
2 Ho 0.8217 0.8217 0.8217  3 Sb 3.00, 3 Te 3.16
3 Sb 0.4129 0.4129 0.4129  3 Ho 3.00, 3 Dy 3.05
4 Te 0.2428 0.2428 0.2428  3 Ho 3.16, 3 Dy 3.20


- size of the total moment of number 1 (BC2)?
  0.00 Bohr magnetons per cell